This record from Alexandria via LeMat-Bulk describes an optimized crystal structure of Er4PtPbSe2. The functional is GGA-PBE.

abc: 3.9974 7.6165 7.0539
angles: 71.99 90.00 90.00
Element x y z (fractional)
1 Er 0.0000 0.7616 0.7311
2 Er 0.0000 0.2384 0.2689
3 Er 0.5000 0.7393 0.2756
4 Er 0.5000 0.2607 0.7244
5 Pt 0.0000 0.5000 0.5000
6 Pb 0.5000 0.5000 0.0000
7 Se 0.0000 0.0000 0.0000
8 Se 0.5000 0.0000 0.5000

## Properties
Total magnetization = 0.00 Bohr magnetons per cell
Formation energy without anion corrections = -1236 meV/atom
ρ = 9.99 Mg/m³